[1]
First-principles (PBE) data for Ce2Zn12Ga5 after structural relaxation, as listed in the Alexandria database.

abc: 6.922 6.922 6.922
angles: 84.64 84.64 84.64
Fractional positions:
Ga  0.902  0.902  0.902
Ga  0.500  0.000  0.000
Ga  0.000  0.500  0.000
Ga  0.098  0.098  0.098
Ga  0.000  0.000  0.500
Ce  0.672  0.672  0.672
Ce  0.328  0.328  0.328
Zn  0.352  0.352  0.825
Zn  0.688  0.312  0.000
Zn  0.312  0.688  0.000
Zn  0.000  0.688  0.312
Zn  0.688  0.000  0.312
Zn  0.648  0.648  0.175
Zn  0.000  0.312  0.688
Zn  0.648  0.175  0.648
Zn  0.175  0.648  0.648
Zn  0.825  0.352  0.352
Zn  0.312  0.000  0.688
Zn  0.352  0.825  0.352

Summary:
The theoretical density comes out at 7.17 g/cm³. The value obtained for the calculated formation energy is -0.1968 eV/atom.


[2]
First-principles (PBE) data for Ag8PbAu4 after structural relaxation, as listed in the Alexandria database.

abc: 4.724 2.962 18.225
angles: 90.00 90.00 90.00
Fractional positions:
Ag  0.000  0.000  0.784
Ag  0.500  0.500  0.018
Ag  0.000  0.000  0.507
Ag  0.500  0.000  0.160
Ag  0.500  0.500  0.737
Ag  0.500  0.000  0.595
Ag  0.000  0.500  0.924
Ag  0.000  0.500  0.201
Pb  0.000  0.000  0.347
Au  0.000  0.500  0.645
Au  0.500  0.500  0.445
Au  0.500  0.000  0.877
Au  0.000  0.000  0.064

Summary:
The theoretical density comes out at 12.10 g/cm³. The value obtained for the calculated formation energy is 0.0259 eV/atom.


[3]
First-principles (PBE) data for Li3Tb3NpTe8 after structural relaxation, as listed in the Alexandria database.

abc: 8.727 8.727 8.678
angles: 120.20 90.00 120.00
Fractional positions:
Tb  0.000  0.500  0.500
Tb  0.500  0.000  0.500
Tb  0.500  0.500  0.500
Li  0.000  0.000  0.000
Li  0.000  0.500  0.000
Li  0.500  0.500  0.000
Te  0.248  0.496  0.243
Te  0.750  0.997  0.247
Te  0.250  0.499  0.753
Te  0.750  0.501  0.247
Te  0.753  0.003  0.753
Te  0.247  0.997  0.247
Te  0.250  0.003  0.753
Te  0.752  0.504  0.757
Np  0.000  0.000  0.500

Summary:
For the uncorrected formation energy, the calculation gives -1.139 eV/atom. The theoretical density comes out at 6.26 g/cm³.


[4]
First-principles (PBE) data for La2IrCl after structural relaxation, as listed in the Alexandria database.

abc: 5.964 4.200 4.202
angles: 90.00 90.00 90.00
Fractional positions:
La  0.500  0.376  0.376
La  0.000  0.874  0.874
Ir  0.500  0.876  0.876
Cl  0.000  0.374  0.374

Summary:
The value obtained for the excess energy over the best structure of this formula in the dataset is 0.145 eV per atom. For the uncorrected formation energy, the calculation gives -1.192 eV/atom. The theoretical density comes out at 7.97 g/cm³.


[5]
First-principles (PBE) data for TiCdTeI2 after structural relaxation, as listed in the Alexandria database.

abc: 5.696 5.696 5.800
angles: 90.00 90.00 90.00
Fractional positions:
Ti  0.500  0.500  0.500
I  0.500  0.000  0.000
I  0.000  0.500  0.000
Cd  0.000  0.000  0.000
Te  0.000  0.000  0.500

Summary:
The value obtained for the excess energy over the best structure of this formula in the dataset is 0.794 eV per atom. For the uncorrected formation energy, the calculation gives 0.581 eV/atom. The theoretical density comes out at 4.78 g/cm³.


[6]
First-principles (PBE) data for La2InAgRu after structural relaxation, as listed in the Alexandria database.

abc: 4.206 8.337 8.007
angles: 109.61 90.00 90.00
Fractional positions:
Ru  0.250  0.874  0.889
Ru  0.750  0.126  0.111
La  0.250  0.264  0.966
La  0.750  0.736  0.034
La  0.250  0.117  0.348
La  0.750  0.883  0.652
Ag  0.750  0.306  0.672
Ag  0.250  0.694  0.328
In  0.750  0.454  0.338
In  0.250  0.546  0.662

Summary:
The value obtained for the excess energy over the best structure of this formula in the dataset is 0.000 eV per atom. The theoretical density comes out at 7.55 g/cm³. The value obtained for the calculated formation energy is -0.3584 eV/atom.


[7]
First-principles (PBE) data for Li2NiMo after structural relaxation, as listed in the Alexandria database.

abc: 9.307 9.307 9.307
angles: 16.20 16.20 16.20
Fractional positions:
Li  0.492  0.492  0.492
Li  0.008  0.008  0.008
Mo  0.250  0.250  0.250
Ni  0.750  0.750  0.750

Summary:
The value obtained for the excess energy over the best structure of this formula in the dataset is 0.091 eV per atom. The theoretical density comes out at 5.12 g/cm³. The value obtained for the calculated formation energy is 0.2457 eV/atom.


[8]
First-principles (PBE) data for Na2GaS4 after structural relaxation, as listed in the Alexandria database.

abc: 4.913 4.913 7.720
angles: 71.45 71.45 90.00
Fractional positions:
S  0.835  0.835  0.331
S  0.000  0.500  0.000
S  0.165  0.165  0.669
S  0.500  0.000  0.000
Ga  0.000  0.000  0.000
Na  0.369  0.369  0.263
Na  0.631  0.631  0.737

Summary:
For the uncorrected formation energy, the calculation gives -0.232 eV/atom. The theoretical density comes out at 2.43 g/cm³.


[9]
First-principles (PBE) data for Zr2VFe after structural relaxation, as listed in the Alexandria database.

abc: 4.605 4.605 4.605
angles: 60.00 60.00 60.00
Fractional positions:
Zr  0.250  0.250  0.250
Zr  0.750  0.750  0.750
Fe  0.000  0.000  0.000
V  0.500  0.500  0.500

Summary:
The value obtained for the excess energy over the best structure of this formula in the dataset is 0.004 eV per atom. The theoretical density comes out at 6.96 g/cm³. The value obtained for the calculated formation energy is 0.0324 eV/atom.


[10]
First-principles (PBE) data for LaCd11Ga after structural relaxation, as listed in the Alexandria database.

abc: 5.919 7.643 7.724
angles: 81.51 67.47 67.35
Fractional positions:
Cd  0.288  0.215  0.212
Cd  0.500  0.785  0.212
Cd  0.500  0.000  0.500
Cd  0.006  0.645  0.351
Cd  0.000  0.000  0.500
Cd  0.644  0.355  0.351
Cd  0.000  0.500  0.000
Cd  0.356  0.645  0.649
Cd  0.994  0.355  0.649
Cd  0.712  0.785  0.788
Cd  0.500  0.215  0.788
La  0.000  0.000  0.000
Ga  0.500  0.500  0.000

Summary:
The theoretical density comes out at 8.06 g/cm³. The value obtained for the calculated formation energy is -0.1251 eV/atom.